Entry 1:
DFT (PBE) results for a relaxed Ho2NbC crystal.

Computed properties:
calculated density	8.3	g/cm3
energy of formation	0.35	eV/atom

Cell and atoms, written as CIF:
```
data_Ho2NbC
_cell_length_a 3.3623
_cell_length_b 3.3623
_cell_length_c 26.6363
_cell_angle_alpha 90.00
_cell_angle_beta 90.00
_cell_angle_gamma 120.00
_space_group_name_H-M_alt 'R -3 m'
_space_group_IT_number 166
_space_group_name_Hall '-R 3 2"'
loop_
_atom_site_label
_atom_site_fract_x
_atom_site_fract_y
_atom_site_fract_z
_atom_site_occupancy
Ho1 0.0000 0.0000 0.1151 1
Nb1 0.0000 0.0000 0.0000 1
C1 0.0000 0.0000 0.5000 1
```



Entry 2:
DFT (PBE) results for a relaxed Y3Cu crystal.

Computed properties:
calculated density	4.8	g/cm3
energy of formation	-0.02	eV/atom

Cell and atoms, written as CIF:
```
data_Y3Cu
_cell_length_a 3.7032
_cell_length_b 3.7032
_cell_length_c 9.6064
_cell_angle_alpha 90.00
_cell_angle_beta 90.00
_cell_angle_gamma 120.00
_space_group_name_H-M_alt 'P -6 m 2'
_space_group_IT_number 187
_space_group_name_Hall 'P -6 2'
loop_
_atom_site_label
_atom_site_fract_x
_atom_site_fract_y
_atom_site_fract_z
_atom_site_occupancy
Y1 0.0000 0.0000 0.0000 1
Y2 0.6667 0.3333 0.3001 1
Cu1 0.0000 0.0000 0.5000 1
```



Entry 3:
DFT (PBE) results for a relaxed CaPrTmMg crystal.

Computed properties:
ΔE to the lowest computed polymorph	82	meV/atom
calculated density	4.9	g/cm3
energy of formation	0.07	eV/atom

Cell and atoms, written as CIF:
```
data_CaPrTmMg
_cell_length_a 7.9665
_cell_length_b 7.9665
_cell_length_c 7.9665
_cell_angle_alpha 90.00
_cell_angle_beta 90.00
_cell_angle_gamma 90.00
_space_group_name_H-M_alt 'F -4 3 m'
_space_group_IT_number 216
_space_group_name_Hall 'F -4 2 3'
loop_
_atom_site_label
_atom_site_fract_x
_atom_site_fract_y
_atom_site_fract_z
_atom_site_occupancy
Ca1 0.0000 0.0000 0.0000 1
Pr1 0.2500 0.2500 0.7500 1
Tm1 0.2500 0.2500 0.2500 1
Mg1 0.0000 0.0000 0.5000 1
```



Entry 4:
DFT (PBE) results for a relaxed Li6Sn3Hg crystal.

Computed properties:
ΔE to the lowest computed polymorph	0	meV/atom
calculated density	5.2	g/cm3
energy of formation	-0.35	eV/atom

Cell and atoms, written as CIF:
```
data_Li6Sn3Hg
_cell_length_a 8.1214
_cell_length_b 4.7914
_cell_length_c 10.6024
_cell_angle_alpha 90.00
_cell_angle_beta 110.99
_cell_angle_gamma 90.00
_space_group_name_H-M_alt 'P 1 21/m 1'
_space_group_IT_number 11
loop_
_space_group_symop_operation_xyz
'x,y,z'
'-x,-y,-z'
'-x,y+1/2,-z'
'x,-y+1/2,z'
loop_
_atom_site_label
_atom_site_fract_x
_atom_site_fract_y
_atom_site_fract_z
_atom_site_occupancy
Li1 0.0479 0.2500 0.4339 1
Li2 0.1852 0.7500 0.1809 1
Li3 0.2536 0.2500 0.0217 1
Li4 0.3420 0.2500 0.3338 1
Li5 0.3490 0.7500 0.7797 1
Li6 0.4203 0.2500 0.6297 1
Sn1 0.0402 0.7500 0.8824 1
Sn2 0.1131 0.2500 0.7222 1
Sn3 0.2831 0.7500 0.4759 1
Hg1 0.4571 0.7500 0.0801 1
```



Entry 5:
DFT (PBE) results for a relaxed Ac3TeIrO crystal.

Computed properties:
calculated density	8.5	g/cm3
uncorrected formation energy	-1.7041	eV per atom

Cell and atoms, written as CIF:
```
data_Ac3TeIrO
_cell_length_a 9.6951
_cell_length_b 4.3604
_cell_length_c 9.7000
_cell_angle_alpha 90.00
_cell_angle_beta 104.84
_cell_angle_gamma 90.00
_space_group_name_H-M_alt 'P 1 21/m 1'
_space_group_IT_number 11
loop_
_space_group_symop_operation_xyz
'x,y,z'
'-x,-y,-z'
'-x,y+1/2,-z'
'x,-y+1/2,z'
loop_
_atom_site_label
_atom_site_fract_x
_atom_site_fract_y
_atom_site_fract_z
_atom_site_occupancy
Ac1 0.0531 0.2500 0.3377 1
Ac2 0.3260 0.2500 0.9739 1
Ac3 0.3618 0.7500 0.6440 1
Te1 0.3308 0.7500 0.2660 1
Ir1 0.1558 0.2500 0.6523 1
O1 0.4187 0.7500 0.9070 1
```



Entry 6:
DFT (PBE) results for a relaxed V2CrNiH crystal.

Computed properties:
ΔE to the lowest computed polymorph	1582	meV/atom
calculated density	4.7	g/cm3

Cell and atoms, written as CIF:
```
data_V2CrNiH
_cell_length_a 4.1953
_cell_length_b 4.1953
_cell_length_c 4.2803
_cell_angle_alpha 90.00
_cell_angle_beta 90.00
_cell_angle_gamma 90.00
_space_group_name_H-M_alt 'P 4/m m m'
_space_group_IT_number 123
_space_group_name_Hall '-P 4 2'
loop_
_atom_site_label
_atom_site_fract_x
_atom_site_fract_y
_atom_site_fract_z
_atom_site_occupancy
V1 0.0000 0.5000 0.0000 1
Cr1 0.0000 0.0000 0.0000 1
Ni1 0.0000 0.0000 0.5000 1
H1 0.5000 0.5000 0.5000 1
```



Entry 7:
DFT (PBE) results for a relaxed TaV2Fe4 crystal.

Computed properties:
calculated density	7.2	g/cm3
energy of formation	1.19	eV/atom

Cell and atoms, written as CIF:
```
data_TaV2Fe4
_cell_length_a 4.3681
_cell_length_b 4.3681
_cell_length_c 12.2716
_cell_angle_alpha 90.00
_cell_angle_beta 90.00
_cell_angle_gamma 90.00
_space_group_name_H-M_alt 'I 4/m m m'
_space_group_IT_number 139
_space_group_name_Hall '-I 4 2'
loop_
_atom_site_label
_atom_site_fract_x
_atom_site_fract_y
_atom_site_fract_z
_atom_site_occupancy
Ta1 0.0000 0.0000 0.0000 1
V1 0.0000 0.0000 0.3843 1
Fe1 0.0000 0.0000 0.2058 1
Fe2 0.0000 0.5000 0.0000 1
```



Entry 8:
DFT (PBE) results for a relaxed Li2Ga3Ni2 crystal.

Computed properties:
ΔE to the lowest computed polymorph	0	meV/atom
calculated density	5.4	g/cm3
energy of formation	-0.30	eV/atom

Cell and atoms, written as CIF:
```
data_Li2Ga3Ni2
_cell_length_a 9.0849
_cell_length_b 3.9200
_cell_length_c 6.4077
_cell_angle_alpha 90.00
_cell_angle_beta 113.36
_cell_angle_gamma 90.00
_space_group_name_H-M_alt 'C 1 2/m 1'
_space_group_IT_number 12
loop_
_space_group_symop_operation_xyz
'x,y,z'
'-x,-y,-z'
'-x,y,-z'
'x,-y,z'
'x+1/2,y+1/2,z'
'-x+1/2,-y+1/2,-z'
'-x+1/2,y+1/2,-z'
'x+1/2,-y+1/2,z'
loop_
_atom_site_label
_atom_site_fract_x
_atom_site_fract_y
_atom_site_fract_z
_atom_site_occupancy
Li1 0.1513 0.0000 0.2830 1
Ga1 0.0000 0.5000 0.5000 1
Ga2 0.1322 0.5000 0.9527 1
Ni1 0.1250 0.0000 0.7023 1
```